Computed, not measured: crystalline Ba2MgIr2 at its relaxed geometry at the PBE-GGA level of DFT.

space-group type	I4/mmm (139)
E_tot	-4.370	eV per atom
formation energy	0.262	eV/atom
magnetic moment	0.81	μB per cell

Cell and atoms, written as POSCAR:
```
Ba2MgIr2
1.0
-3.126 3.126 3.931
3.126 -3.126 3.931
3.126 3.126 -3.931
Ba Mg Ir
2 1 2
direct
0.250 0.750 0.500 Ba
0.750 0.250 0.500 Ba
0.000 0.000 0.000 Mg
0.338 0.338 0.000 Ir
0.662 0.662 0.000 Ir
```